Record 1
The following is a DFT calculation (PBE) of a relaxed Ba5PdI5 crystal.

## Properties
E_tot   -3.355 eV per atom
Formation energy without anion corrections   -126 kJ/mol of atoms
ρ   4.4 Mg/m³

```
Ba5PdI5
1.0
8.193 -3.497 0.000
8.193 3.497 0.000
-3.226 0.000 9.451
Ba Pd I
5 1 5
Direct
0.000 0.000 0.000
0.355 0.355 0.701
0.361 0.361 0.150
0.639 0.639 0.850
0.645 0.645 0.299
0.500 0.500 0.000
0.175 0.175 0.837
0.195 0.195 0.333
0.500 0.500 0.500
0.805 0.805 0.667
0.825 0.825 0.163
```

=====

Record 2
The following is a DFT calculation (PBE) of a relaxed Ba2PdI2 crystal.

## Properties
E_tot   -3.416 eV per atom
Energy above the most stable polymorph in this dataset   0.167 eV/atom
Formation energy without anion corrections   -95 kJ/mol of atoms
ρ   5.2 Mg/m³

```
Ba2PdI2
1.0
8.869 0.000 0.000
0.000 8.869 0.000
0.000 0.000 5.128
Ba Pd I
4 2 4
Direct
0.175 0.325 0.000
0.325 0.825 0.000
0.675 0.175 0.000
0.825 0.675 0.000
0.000 0.000 0.000
0.500 0.500 0.000
0.144 0.644 0.500
0.356 0.144 0.500
0.644 0.856 0.500
0.856 0.356 0.500
```

=====

Record 3
The following is a DFT calculation (PBE) of a relaxed Ba4Pd2I crystal.

## Properties
E_tot   -3.475 eV per atom
Energy above the most stable polymorph in this dataset   0.088 eV/atom
Formation energy without anion corrections   -65 kJ/mol of atoms
ρ   4.3 Mg/m³

```
Ba4Pd2I
1.0
-4.929 4.938 6.985
4.929 -4.938 6.985
4.929 4.938 -6.985
Ba Pd I
8 4 2
Direct
0.267 0.232 0.035
0.268 0.233 0.465
0.268 0.802 0.035
0.303 0.768 0.535
0.697 0.232 0.465
0.732 0.198 0.965
0.732 0.767 0.535
0.733 0.768 0.965
0.000 0.000 0.000
0.500 0.000 0.000
0.500 0.000 0.500
0.500 0.500 0.500
0.124 0.374 0.750
0.876 0.626 0.250
```

=====

Record 4
The following is a DFT calculation (PBE) of a relaxed BaPdI6 crystal.

## Properties
E_tot   -2.742 eV per atom
Formation energy without anion corrections   -67 kJ/mol of atoms
ρ   4.6 Mg/m³

```
BaPdI6
1.0
7.296 0.000 0.000
-2.286 7.443 0.000
-2.125 -3.443 6.668
Ba Pd I
1 1 6
Direct
0.000 0.000 0.000
0.500 0.500 0.500
0.182 0.162 0.523
0.202 0.525 0.230
0.455 0.768 0.794
0.545 0.232 0.206
0.798 0.475 0.770
0.818 0.838 0.477
```

=====

Record 5
The following is a DFT calculation (PBE) of a relaxed Ba2PdI crystal.

## Properties
E_tot   -3.639 eV per atom
Energy above the most stable polymorph in this dataset   0.000 eV/atom
Formation energy without anion corrections   -96 kJ/mol of atoms
ρ   5.1 Mg/m³

```
Ba2PdI
1.0
2.330 1.345 8.782
-2.330 1.345 8.782
0.000 -2.690 8.782
Ba Pd I
2 1 1
Direct
0.234 0.234 0.234
0.766 0.766 0.766
0.500 0.500 0.500
0.000 0.000 0.000
```

=====

Record 6
The following is a DFT calculation (PBE) of a relaxed Ba6PdI5 crystal.

## Properties
E_tot   -3.233 eV per atom
Formation energy without anion corrections   -115 kJ/mol of atoms
ρ   4.9 Mg/m³

```
Ba6PdI5
1.0
4.450 -7.531 0.000
4.450 7.531 0.000
-2.797 0.000 7.960
Ba Pd I
6 1 5
Direct
0.072 0.369 0.724
0.214 0.214 0.250
0.369 0.072 0.724
0.631 0.928 0.276
0.786 0.786 0.750
0.928 0.631 0.276
0.000 0.000 0.500
0.192 0.808 0.000
0.339 0.661 0.500
0.500 0.500 0.000
0.661 0.339 0.500
0.808 0.192 0.000
```

=====

Record 7
The following is a DFT calculation (PBE) of a relaxed Ba4PdI5 crystal.

## Properties
E_tot   -3.422 eV per atom
Energy above the most stable polymorph in this dataset   0.060 eV/atom
Formation energy without anion corrections   -131 kJ/mol of atoms
ρ   5.1 Mg/m³

```
Ba4PdI5
1.0
11.321 0.000 0.000
0.000 14.777 0.000
0.000 0.000 5.050
Ba Pd I
8 2 10
Direct
0.058 0.250 0.250
0.250 0.001 0.750
0.250 0.499 0.750
0.442 0.250 0.250
0.558 0.750 0.750
0.750 0.501 0.250
0.750 0.999 0.250
0.942 0.750 0.750
0.250 0.250 0.749
0.750 0.750 0.251
0.049 0.594 0.250
0.049 0.906 0.250
0.250 0.750 0.749
0.451 0.594 0.250
0.451 0.906 0.250
0.549 0.094 0.750
0.549 0.406 0.750
0.750 0.250 0.251
0.951 0.094 0.750
0.951 0.406 0.750
```

=====

Record 8
The following is a DFT calculation (PBE) of a relaxed Ba2PdI crystal.

## Properties
E_tot   -3.402 eV per atom
Energy above the most stable polymorph in this dataset   0.237 eV/atom
Formation energy without anion corrections   -73 kJ/mol of atoms
ρ   5.9 Mg/m³

```
Ba2PdI
1.0
0.000 4.149 4.149
4.149 0.000 4.149
4.149 4.149 0.000
Ba Pd I
2 1 1
Direct
0.250 0.250 0.250
0.750 0.750 0.750
0.000 0.000 0.000
0.500 0.500 0.500
```